Ac3TaO6F2 (PBE, relaxed); spin magnetization = 0.000 μB/cell; energy relative to the elements, uncorrected = -38.34 eV per formula unit; density of states at the Fermi level = 0.0000 states/eV per atom; raw total energy = -8.00 eV per atom
1.0
5.2153 0.0000 0.4743
0.0000 6.9745 0.0000
-0.1126 -3.4872 6.1358
Ac Ta O F
3 1 6 2
direct
0.0000 0.5000 0.0000 Ac
0.5000 0.5000 0.5000 Ac
0.5000 0.0000 0.5000 Ac
0.5000 0.0000 0.0000 Ta
0.7055 0.2856 0.1288 O
0.2945 0.7144 0.8712 O
0.6944 0.8519 0.7038 O
0.3056 0.1481 0.2962 O
0.2945 0.1569 0.8712 O
0.7055 0.8431 0.1288 O
0.2084 0.6768 0.3536 F
0.7916 0.3232 0.6464 F